1.
# K2LiZn3Bi4

A geometry-optimized K2LiZn3Bi4 structure (PBE-GGA, the Alexandria database).

```
10
Lattice="4.9517 0.0000 0.0000 0.0000 4.9517 0.0000 0.0000 0.0000 11.8303" Properties=species:S:1:pos:R:3 pbc="T T T"
K 2.4759 0.0000 3.0710
K 0.0000 2.4759 8.7593
Li 2.4759 2.4759 5.9151
Zn 0.0000 0.0000 5.9151
Zn 2.4759 0.0000 10.1657
Zn 0.0000 2.4759 1.6646
Bi 2.4759 2.4759 0.0000
Bi 0.0000 0.0000 0.0000
Bi 2.4759 0.0000 7.4283
Bi 0.0000 2.4759 4.4020
```

Computed properties:
**Space-group type**: P-4m2, No. 115
**Formation energy from the elements**: -242 meV per atom

2.
# Er3SiTe6

A geometry-optimized Er3SiTe6 structure (PBE-GGA, the Alexandria database).

```
20
Lattice="7.2284 0.0000 0.0000 0.0000 9.5330 0.0640 0.0000 -2.0649 9.3069" Properties=species:S:1:pos:R:3 pbc="T T T"
Er 3.5081 7.2374 6.7776
Er 7.1223 4.9917 8.5674
Er 2.7269 2.6455 5.5530
Er 6.3411 4.8226 3.8180
Er 7.1223 0.2307 2.5933
Er 3.5081 2.4764 0.8036
Si 0.1942 0.2930 7.4278
Si 3.8084 7.1751 1.9432
Te 1.2960 5.3957 5.8644
Te 4.9102 4.5124 6.5683
Te 1.5247 2.3290 8.4224
Te 5.1389 7.6903 4.1497
Te 1.2653 -1.6221 8.9540
Te 4.7353 0.4871 7.2731
Te 1.1211 6.9810 2.0978
Te 4.8795 9.0902 0.4169
Te 1.5247 -0.2222 5.2212
Te 5.1389 5.1392 0.9485
Te 1.2960 2.9557 2.8026
Te 4.9102 2.0724 3.5066
```

Computed properties:
**Energy relative to the elements, uncorrected**: -0.9381 eV per atom
**Space-group type**: Cmc2_1, No. 36

3.
# Li2TcW

A geometry-optimized Li2TcW structure (PBE-GGA, the Alexandria database).

```
4
Lattice="-1.9661 0.9274 -1.2981 0.0915 -3.6954 -2.7786 -3.1838 -2.4100 3.1005" Properties=species:S:1:pos:R:3 pbc="T T T"
Li -0.0187 -0.0142 0.0183
Li -1.5731 -1.1908 1.5320
Tc -1.7333 -1.9865 -1.2632
W -3.3252 -3.1915 0.2870
```

Computed properties:
**Space-group type**: Pmmm, No. 47
**Formation energy from the elements**: 391 meV per atom
**Energy above the lowest structure with this stoichiometry**: 175 meV/atom

4.
# MnSbAu2

A geometry-optimized MnSbAu2 structure (PBE-GGA, the Alexandria database).

```
4
Lattice="4.9471 -0.0737 0.0149 3.6801 3.3071 0.0149 0.9505 0.3563 4.7478" Properties=species:S:1:pos:R:3 pbc="T T T"
Au 1.0008 0.3751 4.6200
Au 7.2519 2.7179 3.4950
Mn 4.7540 1.7817 2.5153
Sb 2.3105 0.8659 1.2840
```

Computed properties:
**Energy relative to the elements, uncorrected**: 0.0947 eV per atom
**Space-group type**: Cm, No. 8

5.
# BaNa2AcF8

A geometry-optimized BaNa2AcF8 structure (PBE-GGA, the Alexandria database).

```
12
Lattice="-0.0962 -5.9257 0.4163 4.4065 0.2081 3.9796 -6.2641 3.2438 2.3317" Properties=species:S:1:pos:R:3 pbc="T T T"
Ba -2.1026 -2.7704 2.4730
Na 2.1551 -2.8588 2.1980
Na 0.1487 0.2965 4.2546
Ac 0.0000 0.0000 0.0000
F 2.5938 -3.9209 4.1452
F 0.2700 -1.6613 1.8452
F -1.4563 -1.2792 4.5777
F -4.2836 1.8170 1.7498
F -0.3171 -4.7359 2.6145
F 2.1493 -0.7496 4.5131
F -2.4784 1.9472 4.4170
F -4.2932 -1.3128 3.0478
```

Computed properties:
**Energy relative to the elements, uncorrected**: -3.2438 eV per atom
**Space-group type**: I-4, No. 82

6.
# LiZrNbRu

A geometry-optimized LiZrNbRu structure (PBE-GGA, the Alexandria database).

```
4
Lattice="4.5677 0.0000 0.0000 2.2839 3.9558 0.0000 2.2839 1.3186 3.7295" Properties=species:S:1:pos:R:3 pbc="T T T"
Ru 6.8516 3.9558 2.7972
Nb 0.0000 0.0000 0.0000
Zr 4.5677 2.6372 1.8648
Li 2.2839 1.3186 0.9324
```

Computed properties:
**Space-group type**: F-43m, No. 216
**Formation energy from the elements**: -98 meV per atom

7.
# Dy2Al5Pd

A geometry-optimized Dy2Al5Pd structure (PBE-GGA, the Alexandria database).

```
8
Lattice="-1.2596 5.0264 -3.0413 2.6763 -4.6138 -2.7660 -4.4302 -3.6621 1.7501" Properties=species:S:1:pos:R:3 pbc="T T T"
Dy -3.3319 -1.6159 -0.9277
Dy 0.2214 -2.0917 -3.1857
Al -1.9943 -3.9221 -2.3118
Al 0.8524 -4.6047 -1.6658
Al -2.7032 -4.1285 0.5937
Al -1.1160 0.2153 -1.8015
Al -0.4876 -2.3007 -0.2824
Pd -1.3649 -6.4403 -0.7906
```

Computed properties:
**Space-group type**: I4mm, No. 107
**Formation energy from the elements**: -490 meV per atom

8.
# KNbZnSe3

A geometry-optimized KNbZnSe3 structure (PBE-GGA, the Alexandria database).

```
12
Lattice="3.8546 0.0006 0.0000 -1.9261 7.5907 0.0000 0.0000 0.0000 10.3790" Properties=species:S:1:pos:R:3 pbc="T T T"
K -0.0010 3.7833 2.5947
K 1.9295 3.8080 7.7842
Nb 1.9285 7.5913 0.0000
Nb 1.9285 7.5913 5.1895
Zn 1.9239 0.5486 2.5947
Zn 0.0046 7.0427 7.7842
Se 1.9269 1.8475 0.5149
Se 0.0024 1.0239 7.7842
Se 1.9269 1.8475 4.6746
Se 1.9261 6.5675 2.5947
Se 0.0016 5.7438 9.8641
Se 0.0016 5.7438 5.7044
```

Computed properties:
**Energy relative to the elements, uncorrected**: -0.7620 eV per atom
**Space-group type**: P2_1/m, No. 11

| no. | total magnetic moment (μB per formula unit) |
| --- | --- |
| 1 | 0.0 |
| 2 | 0.0 |
| 3 | 0.0 |
| 4 | 4.0 |
| 5 | 1.2 |
| 6 | 0.0 |
| 7 | 0.0 |
| 8 | 1.9 |